Compound: Al5Cd
Source: the Alexandria database
Functional: PBE
Structure: relaxed

Unit cell a=4.5261 b=2.9116 c=16.5321 alpha=90.00 beta=90.00 gamma=90.00
Space group Amm2 (No. 38)
One atom of each set of equivalent atoms:
Al: 0.0000 0.0000 0.0000
Al: 0.0000 0.0000 0.3112
Al: 0.0000 0.0000 0.6585
Al: 0.5000 0.0000 0.2110
Al: 0.5000 0.0000 0.5513
Cd: 0.5000 0.0000 0.8843

Output
Energy of formation from the pure elements: 106 meV/atom

=====

Compound: Al2Cd
Source: the Alexandria database
Functional: PBE
Structure: relaxed

Unit cell a=6.3830 b=6.3830 c=6.3830 alpha=90.00 beta=90.00 gamma=90.00
Space group Fm-3m (No. 225)
One atom of each set of equivalent atoms:
Al: 0.2500 0.2500 0.2500
Cd: 0.0000 0.0000 0.0000

Output
Energy of formation from the pure elements: 259 meV/atom

=====

Compound: Al3Cd
Source: the Alexandria database
Functional: PBE
Structure: relaxed

Unit cell a=2.9160 b=2.9160 c=10.0552 alpha=90.00 beta=90.00 gamma=120.00
Space group P-6m2 (No. 187)
One atom of each set of equivalent atoms:
Al: 0.0000 0.0000 0.0000
Al: 0.3333 0.6667 0.2329
Cd: 0.0000 0.0000 0.5000

Output
Energy of formation from the pure elements: 98 meV/atom

=====

Compound: AlCd
Source: the Alexandria database
Functional: PBE
Structure: relaxed

Unit cell a=8.4845 b=8.4845 c=4.1794 alpha=90.00 beta=90.00 gamma=120.00
Space group P6_3/mmc (No. 194)
One atom of each set of equivalent atoms:
Al: 0.1180 0.5590 0.2500
Cd: 0.1554 0.3109 0.7500

Output
Energy of formation from the pure elements: 165 meV/atom

=====

Compound: Al3Cd2
Source: the Alexandria database
Functional: PBE
Structure: relaxed

Unit cell a=12.9914 b=22.4101 c=2.8890 alpha=90.00 beta=90.00 gamma=90.00
Space group Fdd2 (No. 43)
One atom of each set of equivalent atoms:
Al: 0.0000 0.0000 0.0000
Al: 0.1223 0.4240 0.0119
Cd: 0.0688 0.3082 0.7049

Output
Energy of formation from the pure elements: 157 meV/atom

=====

Compound: Al2Cd
Source: the Alexandria database
Functional: PBE
Structure: relaxed

Unit cell a=3.8672 b=3.8672 c=17.4597 alpha=90.00 beta=90.00 gamma=90.00
Space group I4_1/amd (No. 141, origin choice 2)
One atom of each set of equivalent atoms:
Al: 0.0000 0.2500 0.3003
Cd: 0.0000 0.2500 0.8750

Output
Energy of formation from the pure elements: 297 meV/atom

=====

Compound: Al3Cd
Source: the Alexandria database
Functional: PBE
Structure: relaxed

Unit cell a=5.3255 b=5.3255 c=5.3255 alpha=90.00 beta=90.00 gamma=90.00
Space group Pm-3n (No. 223)
One atom of each set of equivalent atoms:
Al: 0.0000 0.2500 0.5000
Cd: 0.0000 0.0000 0.0000

Output
Energy of formation from the pure elements: 194 meV/atom

=====

Compound: Al8Cd
Source: the Alexandria database
Functional: PBE
Structure: relaxed

Unit cell a=11.3484 b=11.3484 c=2.7789 alpha=90.00 beta=90.00 gamma=90.00
Space group I4/mmm (No. 139)
One atom of each set of equivalent atoms:
Al: 0.0000 0.3493 0.0000
Al: 0.1755 0.1755 0.0000
Cd: 0.0000 0.0000 0.0000

Output
Energy of formation from the pure elements: 238 meV/atom

=====

Compound: AlCd
Source: the Alexandria database
Functional: PBE
Structure: relaxed

Unit cell a=3.0553 b=3.0553 c=29.2258 alpha=90.00 beta=90.00 gamma=120.00
Space group R-3m (No. 166, hexagonal axes)
One atom of each set of equivalent atoms:
Al: 0.0000 0.0000 0.1284
Cd: 0.0000 0.0000 0.3795

Output
Energy of formation from the pure elements: 86 meV/atom

=====

Compound: Al3Cd
Source: the Alexandria database
Functional: PBE
Structure: relaxed

Unit cell a=2.7972 b=5.2188 c=10.4501 alpha=90.00 beta=90.00 gamma=90.00
Space group Immm (No. 71)
One atom of each set of equivalent atoms:
Al: 0.0000 0.0000 0.0000
Al: 0.0000 0.5000 0.2666
Cd: 0.0000 0.0000 0.5000

Output
Energy of formation from the pure elements: 151 meV/atom

=====

Compound: AlCd
Source: the Alexandria database
Functional: PBE
Structure: relaxed

Unit cell a=3.0617 b=3.0617 c=8.4152 alpha=90.00 beta=90.00 gamma=90.00
Space group P4/nmm (No. 129, origin choice 2)
One atom of each set of equivalent atoms:
Al: 0.2500 0.2500 0.1098
Cd: 0.2500 0.2500 0.6381

Output
Energy of formation from the pure elements: 115 meV/atom

=====

Compound: Al2Cd
Source: the Alexandria database
Functional: PBE
Structure: relaxed

Unit cell a=11.9935 b=2.9599 c=7.4531 alpha=90.00 beta=116.44 gamma=90.00
Space group C2/m (No. 12)
One atom of each set of equivalent atoms:
Al: 0.0505 0.0000 0.2216
Al: 0.1584 0.5000 0.0221
Cd: 0.1504 0.5000 0.6040

Output
Energy of formation from the pure elements: 102 meV/atom

=====

Compound: AlCd
Source: the Alexandria database
Functional: PBE
Structure: relaxed

Unit cell a=4.3935 b=9.4578 c=4.2091 alpha=90.00 beta=90.00 gamma=90.00
Space group Cmcm (No. 63)
One atom of each set of equivalent atoms:
Al: 0.0000 0.0887 0.2500
Cd: 0.0000 0.3752 0.2500

Output
Energy of formation from the pure elements: 181 meV/atom

=====

Compound: AlCd
Source: the Alexandria database
Functional: PBE
Structure: relaxed

Unit cell a=4.3060 b=4.3060 c=8.6200 alpha=90.00 beta=90.00 gamma=90.00
Space group I4_1/amd (No. 141, origin choice 2)
One atom of each set of equivalent atoms:
Al: 0.0000 0.2500 0.3750
Cd: 0.0000 0.2500 0.8750

Output
Energy of formation from the pure elements: 150 meV/atom

=====

Compound: AlCd
Source: the Alexandria database
Functional: PBE
Structure: relaxed

Unit cell a=3.1268 b=6.1060 c=12.9689 alpha=90.00 beta=90.00 gamma=90.00
Space group Imm2 (No. 44)
One atom of each set of equivalent atoms:
Al: 0.0000 0.0000 0.0000
Al: 0.0000 0.2280 0.3740
Cd: 0.0000 0.0000 0.7322
Cd: 0.0000 0.5000 0.0395
Cd: 0.0000 0.5000 0.6927

Output
Energy of formation from the pure elements: 115 meV/atom

=====

Compound: AlCd
Source: the Alexandria database
Functional: PBE
Structure: relaxed

Unit cell a=4.3842 b=11.8956 c=5.2731 alpha=90.00 beta=90.00 gamma=90.00
Space group Pmmn (No. 59, origin choice 2)
One atom of each set of equivalent atoms:
Al: 0.2500 0.1342 0.2039
Al: 0.2500 0.7500 0.6130
Cd: 0.2500 0.0059 0.7228
Cd: 0.2500 0.2500 0.7387

Output
Energy of formation from the pure elements: 191 meV/atom

=====

Compound: Al2Cd
Source: the Alexandria database
Functional: PBE
Structure: relaxed

Unit cell a=2.9355 b=2.9355 c=7.5752 alpha=90.00 beta=90.00 gamma=120.00
Space group P-3m1 (No. 164)
One atom of each set of equivalent atoms:
Al: 0.3333 0.6667 0.3483
Cd: 0.0000 0.0000 0.0000

Output
Energy of formation from the pure elements: 85 meV/atom

=====

Compound: AlCd4
Source: the Alexandria database
Functional: PBE
Structure: relaxed

Unit cell a=4.0940 b=4.0940 c=14.4589 alpha=90.00 beta=90.00 gamma=90.00
Space group I4/mmm (No. 139)
One atom of each set of equivalent atoms:
Al: 0.0000 0.0000 0.0000
Cd: 0.0000 0.0000 0.4041
Cd: 0.0000 0.5000 0.2500

Output
Energy of formation from the pure elements: 228 meV/atom

=====

Compound: AlCd
Source: the Alexandria database
Functional: PBE
Structure: relaxed

Unit cell a=2.9610 b=2.9610 c=5.3128 alpha=90.00 beta=90.00 gamma=120.00
Space group P-6m2 (No. 187)
One atom of each set of equivalent atoms:
Al: 0.0000 0.0000 0.0000
Cd: 0.6667 0.3333 0.5000

Output
Energy of formation from the pure elements: 162 meV/atom

=====

Compound: Al2Cd
Source: the Alexandria database
Functional: PBE
Structure: relaxed

Unit cell a=8.2525 b=8.2525 c=2.9340 alpha=90.00 beta=90.00 gamma=120.00
Space group P-62m (No. 189)
One atom of each set of equivalent atoms:
Al: 0.0000 0.3064 0.0000
Al: 0.0000 0.6383 0.5000
Cd: 0.0000 0.0000 0.5000
Cd: 0.3333 0.6667 0.0000

Output
Energy of formation from the pure elements: 185 meV/atom